No. 1
Here is a relaxed CsZnPt3 crystal from Alexandria. Energies are from PBEsol.

a = 4.760 Å, b = 4.760 Å, c = 4.760 Å
α = 90.00°, β = 90.00°, γ = 90.00°
Positions (direct):
Cs (0.000, 0.000, 0.000)
Zn (0.500, 0.500, 0.500)
Pt (0.000, 0.500, 0.500)
Pt (0.500, 0.000, 0.500)
Pt (0.500, 0.500, 0.000)

Magnetic moment (μB per formula unit): 0.0
Symmetry: Pm-3m
E_form (kJ/mol of formula units): 307

No. 2
Here is a relaxed ReBiTe2 crystal from Alexandria. Energies are from PBEsol.

a = 9.831 Å, b = 9.831 Å, c = 9.831 Å
α = 21.50°, β = 21.50°, γ = 21.50°
Positions (direct):
Re (0.000, 0.000, 0.000)
Bi (0.500, 0.500, 0.500)
Te (0.390, 0.390, 0.390)
Te (0.610, 0.610, 0.610)

Magnetic moment (μB per formula unit): 1.3
Raw formation energy (eV per atom): 0.3497
Symmetry: R-3m

No. 3
Here is a relaxed Mn2CuOs crystal from Alexandria. Energies are from PBEsol.

a = 2.617 Å, b = 2.617 Å, c = 7.021 Å
α = 90.00°, β = 90.00°, γ = 90.00°
Positions (direct):
Mn (0.000, 0.000, 0.000)
Mn (0.500, 0.500, 0.236)
Cu (0.500, 0.500, 0.751)
Os (0.000, 0.000, 0.479)

Magnetic moment (μB per formula unit): 1.7
Symmetry: P4mm
E_form (kJ/mol of formula units): 95

No. 4
Here is a relaxed MnP2O7 crystal from Alexandria. Energies are from PBEsol.

a = 7.647 Å, b = 15.515 Å, c = 7.711 Å
α = 90.00°, β = 90.00°, γ = 90.00°
Positions (direct):
Mn (0.013, 0.126, 0.000)
Mn (0.026, 0.378, 0.496)
Mn (0.474, 0.878, 0.996)
Mn (0.487, 0.626, 0.500)
Mn (0.513, 0.374, 0.000)
Mn (0.526, 0.122, 0.496)
Mn (0.974, 0.622, 0.996)
Mn (0.987, 0.874, 0.500)
P (0.094, 0.810, 0.880)
P (0.103, 0.564, 0.624)
P (0.110, 0.324, 0.880)
P (0.131, 0.072, 0.598)
P (0.369, 0.572, 0.098)
P (0.390, 0.824, 0.380)
P (0.397, 0.064, 0.124)
P (0.406, 0.310, 0.380)
P (0.594, 0.690, 0.880)
P (0.603, 0.936, 0.624)
P (0.610, 0.176, 0.880)
P (0.631, 0.428, 0.598)
P (0.869, 0.928, 0.098)
P (0.890, 0.676, 0.380)
P (0.897, 0.436, 0.124)
P (0.906, 0.190, 0.380)
O (0.008, 0.403, 0.965)
O (0.020, 0.315, 0.704)
O (0.021, 0.431, 0.279)
O (0.026, 0.994, 0.538)
O (0.065, 0.153, 0.490)
O (0.067, 0.714, 0.868)
O (0.078, 0.243, 0.989)
O (0.106, 0.854, 0.703)
O (0.122, 0.096, 0.790)
O (0.149, 0.470, 0.587)
O (0.178, 0.563, 0.045)
O (0.197, 0.851, 0.372)
O (0.226, 0.115, 0.135)
O (0.241, 0.328, 0.479)
O (0.259, 0.828, 0.979)
O (0.274, 0.615, 0.635)
O (0.303, 0.351, 0.872)
O (0.322, 0.063, 0.545)
O (0.351, 0.970, 0.087)
O (0.378, 0.596, 0.290)
O (0.394, 0.354, 0.203)
O (0.422, 0.743, 0.489)
O (0.433, 0.214, 0.368)
O (0.435, 0.653, 0.990)
O (0.474, 0.494, 0.038)
O (0.479, 0.931, 0.779)
O (0.480, 0.815, 0.204)
O (0.492, 0.903, 0.465)
O (0.508, 0.097, 0.965)
O (0.520, 0.185, 0.704)
O (0.521, 0.069, 0.279)
O (0.526, 0.506, 0.538)
O (0.565, 0.347, 0.490)
O (0.567, 0.786, 0.868)
O (0.578, 0.257, 0.989)
O (0.606, 0.646, 0.703)
O (0.622, 0.404, 0.790)
O (0.649, 0.030, 0.587)
O (0.678, 0.937, 0.045)
O (0.697, 0.649, 0.372)
O (0.726, 0.385, 0.135)
O (0.741, 0.172, 0.479)
O (0.759, 0.672, 0.979)
O (0.774, 0.885, 0.635)
O (0.803, 0.149, 0.872)
O (0.822, 0.437, 0.545)
O (0.851, 0.530, 0.087)
O (0.878, 0.904, 0.290)
O (0.894, 0.146, 0.203)
O (0.922, 0.757, 0.489)
O (0.933, 0.286, 0.368)
O (0.935, 0.847, 0.990)
O (0.974, 0.006, 0.038)
O (0.979, 0.569, 0.779)
O (0.980, 0.685, 0.204)
O (0.992, 0.597, 0.465)

Magnetic moment (μB per formula unit): 3.0
Raw formation energy (eV per atom): -1.9629
ΔE to the lowest computed polymorph (eV per atom): 0.030
Symmetry: Pna2_1

What did the third record say?
Here is a relaxed Mn2CuOs crystal from Alexandria. Energies are from PBEsol.

a = 2.617 Å, b = 2.617 Å, c = 7.021 Å
α = 90.00°, β = 90.00°, γ = 90.00°
Positions (direct):
Mn (0.000, 0.000, 0.000)
Mn (0.500, 0.500, 0.236)
Cu (0.500, 0.500, 0.751)
Os (0.000, 0.000, 0.479)

Magnetic moment (μB per formula unit): 1.7
Symmetry: P4mm
E_form (kJ/mol of formula units): 95